Entry 1:
# RbTa3P GGA-PBE relaxed
# ΔE to the lowest computed polymorph: 0 meV/atom
data_RbTa3P
_cell_length_a 4.821
_cell_length_b 4.821
_cell_length_c 4.821
_cell_angle_alpha 90.00
_cell_angle_beta 90.00
_cell_angle_gamma 90.00
_space_group_name_H-M_alt 'P 1'
_space_group_IT_number 1
loop_
_space_group_symop_operation_xyz
'x,y,z'
loop_
_atom_site_label
_atom_site_fract_x
_atom_site_fract_y
_atom_site_fract_z
P1 0.000 0.000 0.000
Rb1 0.500 0.500 0.500
Ta1 0.000 0.500 0.000
Ta2 0.000 0.000 0.500
Ta3 0.500 0.000 0.000

---

Entry 2:
Material: RbTa2TcP
Method: DFT, GGA-PBE
State: relaxed

CIF file:
```
data_RbTa2TcP
_cell_length_a 4.806
_cell_length_b 5.695
_cell_length_c 4.806
_cell_angle_alpha 90.00
_cell_angle_beta 90.00
_cell_angle_gamma 90.00
_space_group_name_H-M_alt 'P 1'
_space_group_IT_number 1
loop_
_space_group_symop_operation_xyz
'x,y,z'
loop_
_atom_site_label
_atom_site_fract_x
_atom_site_fract_y
_atom_site_fract_z
P1 0.500 0.500 0.500
Tc1 0.000 0.000 0.000
Rb1 0.000 0.500 0.000
Ta1 0.000 0.000 0.500
Ta2 0.500 0.000 0.000
```

---

no.,total moment (μB per atom),density of states at the Fermi level (states/eV/atom),calculated formation energy (eV per atom)
1,0.000,1.540,1.11
2,0.000,0.968,1.70